First-principles (PBE) data for a relaxed structure of HgPt2Se, as listed in the Alexandria database.

Output
Symmetry: Pmmm (47)
E_form (uncorrected) in eV per atom: 0.170
Energy in eV/atom: -3.7973

```
data_HgPt2Se
_chemical_formula_sum 'Hg1 Pt2 Se1'
_cell_length_a 3.028
_cell_length_b 3.216
_cell_length_c 7.315
_cell_angle_alpha 90.00
_cell_angle_beta 90.00
_cell_angle_gamma 90.00
_space_group_name_H-M_alt 'P 1'
_space_group_IT_number 1
_space_group_name_Hall 'P 1'
loop_
_atom_site_label
_atom_site_type_symbol
_atom_site_fract_x
_atom_site_fract_y
_atom_site_fract_z
Hg1 Hg 0.000 0.000 0.000
Pt1 Pt 0.500 0.500 0.273
Pt2 Pt 0.500 0.500 0.727
Se1 Se 0.000 0.000 0.500
```